# 1
## SrTm2Tl3 (PBE-GGA)

Data for a relaxed structure of SrTm2Tl3.

```
data_SrTm2Tl3
_cell_length_a 3.844
_cell_length_b 3.844
_cell_length_c 11.728
_cell_angle_alpha 90.00
_cell_angle_beta 90.00
_cell_angle_gamma 90.00
_symmetry_space_group_name_H-M 'P 4/m m m'
_symmetry_Int_Tables_number 123
_symmetry_space_group_name_Hall '-P 4 2'
loop_
_atom_site_label
_atom_site_fract_x
_atom_site_fract_y
_atom_site_fract_z
_atom_site_occupancy
Sr1 0.000 0.000 0.000 1
Tm1 0.000 0.000 0.344 1
Tl1 0.500 0.500 0.191 1
Tl2 0.500 0.500 0.500 1
```

Results
- Energy of formation from the pure elements: -7.80 kcal/mol of atoms
- V: 173.3 Å³ per cell
- Final energy: -3.292 eV per atom
- Total magnetic moment: 0.00 μB per formula unit

# 2
## Sr3TmTl4 (PBE-GGA)

Data for a relaxed structure of Sr3TmTl4.

```
data_Sr3TmTl4
_cell_length_a 3.972
_cell_length_b 3.972
_cell_length_c 16.285
_cell_angle_alpha 90.00
_cell_angle_beta 90.00
_cell_angle_gamma 90.00
_symmetry_space_group_name_H-M 'P 4/m m m'
_symmetry_Int_Tables_number 123
_symmetry_space_group_name_Hall '-P 4 2'
loop_
_atom_site_label
_atom_site_fract_x
_atom_site_fract_y
_atom_site_fract_z
_atom_site_occupancy
Sr1 0.000 0.000 0.000 1
Sr2 0.000 0.000 0.259 1
Tm1 0.000 0.000 0.500 1
Tl1 0.500 0.500 0.128 1
Tl2 0.500 0.500 0.393 1
```

Results
- Energy of formation from the pure elements: -8.89 kcal/mol of atoms
- V: 257.0 Å³ per cell
- Final energy: -2.758 eV per atom
- Total magnetic moment: 0.00 μB per formula unit

# 3
## SrTm3Tl2 (PBE-GGA)

Data for a relaxed structure of SrTm3Tl2.

```
data_SrTm3Tl2
_cell_length_a 18.555
_cell_length_b 5.047
_cell_length_c 9.686
_cell_angle_alpha 90.00
_cell_angle_beta 119.09
_cell_angle_gamma 90.00
_symmetry_space_group_name_H-M 'C 1 2/m 1'
_symmetry_Int_Tables_number 12
loop_
_symmetry_equiv_pos_as_xyz
'x,y,z'
'-x,-y,-z'
'-x,y,-z'
'x,-y,z'
'x+1/2,y+1/2,z'
'-x+1/2,-y+1/2,-z'
'-x+1/2,y+1/2,-z'
'x+1/2,-y+1/2,z'
loop_
_atom_site_label
_atom_site_fract_x
_atom_site_fract_y
_atom_site_fract_z
_atom_site_occupancy
Sr1 0.145 0.000 0.071 1
Tm1 0.040 0.000 0.378 1
Tm2 0.096 0.500 0.670 1
Tm3 0.181 0.500 0.416 1
Tl1 0.002 0.500 0.152 1
Tl2 0.201 0.000 0.716 1
```

Results
- Energy of formation from the pure elements: -2.83 kcal/mol of atoms
- V: 792.7 Å³ per cell
- Final energy: -3.428 eV per atom
- Total magnetic moment: 0.00 μB per formula unit